The following is a DFT calculation (GGA-PBE) of crystalline Cs2SiBr5Cl at its relaxed geometry.

The structure in extended XYZ format:
```
9
Lattice="-3.844 3.844 5.526 3.844 -3.844 5.526 3.844 3.844 -5.526" Properties=species:S:1:pos:R:3 pbc="T T T"
Cs 3.844 0.000 0.000
Cs 0.000 3.844 0.000
Si 0.000 0.000 2.742
Br 2.117 2.117 -2.771
Br 1.727 -1.727 2.755
Br 0.000 0.000 5.191
Br -1.727 1.727 2.755
Br 1.727 1.727 2.755
Cl 0.000 0.000 0.517
```

ρ (g/cm³): 3.71
Energy relative to the elements, uncorrected (eV/atom): -1.248


The following is a DFT calculation (GGA-PBE) of crystalline Cs2SnBr2Cl2 at its relaxed geometry.

The structure in extended XYZ format:
```
7
Lattice="-2.810 2.810 9.178 2.810 -2.810 9.178 2.810 2.810 -9.178" Properties=species:S:1:pos:R:3 pbc="T T T"
Cs 0.000 0.000 2.534
Cs 0.000 0.000 15.823
Sn 0.000 0.000 9.178
Br 0.000 0.000 6.187
Br 0.000 0.000 12.170
Cl 2.810 0.000 0.000
Cl 0.000 2.810 0.000
```

ρ (g/cm³): 3.53
Energy relative to the elements, uncorrected (eV/atom): -1.505


The following is a DFT calculation (GGA-PBE) of crystalline Cs2SnBr4Cl2 at its relaxed geometry.

The structure in extended XYZ format:
```
9
Lattice="6.739 -3.820 0.000 6.739 3.820 0.000 -0.953 0.000 6.775" Properties=species:S:1:pos:R:3 pbc="T T T"
Cs 1.855 0.000 1.858
Cs 10.671 0.000 4.917
Sn 6.263 0.000 3.387
Br 5.246 1.884 1.814
Br 7.280 1.884 4.961
Br 5.246 -1.884 1.814
Br 7.280 -1.884 4.961
Cl 4.147 0.000 4.685
Cl 8.378 0.000 2.090
```

ρ (g/cm³): 3.69
Energy relative to the elements, uncorrected (eV/atom): -1.306


The following is a DFT calculation (GGA-PBE) of crystalline Cs2SnBr6Cl at its relaxed geometry.

The structure in extended XYZ format:
```
10
Lattice="-4.235 4.235 5.498 4.235 -4.235 5.498 4.235 4.235 -5.498" Properties=species:S:1:pos:R:3 pbc="T T T"
Cs 4.235 0.000 2.749
Cs 0.000 4.235 2.749
Sn 0.000 0.000 0.000
Br 1.875 1.875 0.000
Br 2.360 -2.360 5.498
Br 0.000 0.000 2.710
Br 0.000 0.000 8.287
Br -2.360 2.360 5.498
Br 2.360 2.360 5.498
Cl 0.000 0.000 5.498
```

ρ (g/cm³): 3.79
Energy relative to the elements, uncorrected (eV/atom): -1.016


The following is a DFT calculation (GGA-PBE) of crystalline Cs2SnBr5Cl at its relaxed geometry.

The structure in extended XYZ format:
```
9
Lattice="-3.913 3.913 5.658 3.913 -3.913 5.658 3.913 3.913 -5.658" Properties=species:S:1:pos:R:3 pbc="T T T"
Cs 3.913 0.000 0.000
Cs 0.000 3.913 0.000
Sn 0.000 0.000 2.833
Br 2.038 2.038 -2.819
Br 1.876 -1.876 2.839
Br 0.000 0.000 0.175
Br -1.876 1.876 2.839
Br 1.876 1.876 2.839
Cl 0.000 0.000 5.326
```

ρ (g/cm³): 3.93
Energy relative to the elements, uncorrected (eV/atom): -1.287


The following is a DFT calculation (GGA-PBE) of crystalline CsSnBrCl2 at its relaxed geometry.

The structure in extended XYZ format:
```
5
Lattice="5.621 0.000 0.000 0.000 5.621 0.000 0.000 0.000 5.915" Properties=species:S:1:pos:R:3 pbc="T T T"
Cs 0.000 0.000 0.000
Sn 2.811 2.811 2.957
Br 2.811 2.811 0.000
Cl 0.000 2.811 2.957
Cl 2.811 0.000 2.957
```

ρ (g/cm³): 3.58
Energy relative to the elements, uncorrected (eV/atom): -1.369


The following is a DFT calculation (GGA-PBE) of crystalline Cs2SnBr3Cl at its relaxed geometry.

The structure in extended XYZ format:
```
7
Lattice="-2.811 2.933 9.186 2.811 -2.933 9.186 2.811 2.933 -9.186" Properties=species:S:1:pos:R:3 pbc="T T T"
Cs 0.000 0.000 2.574
Cs 0.000 0.000 15.797
Sn 0.000 0.000 9.186
Br 2.811 0.000 0.000
Br 0.000 0.000 6.196
Br 0.000 0.000 12.175
Cl 0.000 2.933 0.000
```

ρ (g/cm³): 3.62
Energy relative to the elements, uncorrected (eV/atom): -1.442


The following is a DFT calculation (GGA-PBE) of crystalline Cs3Sn2Br2Cl5 at its relaxed geometry.

The structure in extended XYZ format:
```
12
Lattice="-2.816 2.816 14.721 2.816 -2.816 14.721 2.816 2.816 -14.721" Properties=species:S:1:pos:R:3 pbc="T T T"
Cs 0.000 0.000 0.000
Cs 0.000 0.000 5.260
Cs 0.000 0.000 24.182
Sn 0.000 0.000 11.873
Sn 0.000 0.000 17.569
Br 0.000 0.000 8.921
Br 0.000 0.000 20.521
Cl 2.816 0.000 2.777
Cl 2.816 0.000 11.944
Cl 0.000 0.000 14.721
Cl 0.000 2.816 2.777
Cl 0.000 2.816 11.944
```

ρ (g/cm³): 3.46
Energy relative to the elements, uncorrected (eV/atom): -1.482


Copy entry 7 word for word.
The following is a DFT calculation (GGA-PBE) of crystalline Cs2SnBr3Cl at its relaxed geometry.

The structure in extended XYZ format:
```
7
Lattice="-2.811 2.933 9.186 2.811 -2.933 9.186 2.811 2.933 -9.186" Properties=species:S:1:pos:R:3 pbc="T T T"
Cs 0.000 0.000 2.574
Cs 0.000 0.000 15.797
Sn 0.000 0.000 9.186
Br 2.811 0.000 0.000
Br 0.000 0.000 6.196
Br 0.000 0.000 12.175
Cl 0.000 2.933 0.000
```

ρ (g/cm³): 3.62
Energy relative to the elements, uncorrected (eV/atom): -1.442